# 1
An optimized crystal structure of La2Ni3GePt12, computed with PBE-GGA.

DOS at the Fermi energy   15.78 states/eV/cell
Uncorrected energy   -5.921 eV per atom
V   20.0 Å³/atom
Formation energy from the elements   -0.127 eV per atom

The structure in extended XYZ format:
```
18
Lattice="8.202 0.271 0.193 4.287 6.998 0.193 4.287 2.495 6.541" Properties=species:S:1:pos:R:3 pbc="T T T"
Pt 12.642 7.359 2.798
Pt 8.433 4.909 5.814
Pt 4.133 4.691 0.906
Pt 8.433 7.110 2.711
Pt 8.342 2.655 4.215
Pt 6.120 1.277 0.906
Pt 8.342 4.856 1.112
Ge 0.000 0.000 0.000
Pt 12.642 5.073 6.020
La 10.558 6.146 4.359
La 6.217 3.619 2.567
Ni 2.143 3.499 0.096
Pt 10.347 3.822 2.711
Pt 10.655 8.487 6.020
Pt 4.133 2.406 4.128
Pt 6.429 5.943 4.215
Ni 2.143 1.248 3.270
Ni 4.101 0.136 0.096
```



# 2
An optimized crystal structure of La2NiGe3Pt12, computed with PBE-GGA.

DOS at the Fermi energy   6.70 states/eV/cell
Uncorrected energy   -5.996 eV per atom
V   20.5 Å³/atom
Formation energy from the elements   -0.331 eV per atom

The structure in extended XYZ format:
```
18
Lattice="7.944 -0.106 -0.075 3.831 6.960 -0.075 3.831 2.230 6.593" Properties=species:S:1:pos:R:3 pbc="T T T"
Pt 9.636 8.039 5.702
Ge 3.972 -0.053 -0.038
Pt 7.714 4.490 5.739
Pt 5.969 1.044 0.741
La 5.772 3.360 2.383
Pt 5.795 5.784 4.103
Pt 11.749 4.409 5.702
Pt 11.749 6.839 2.276
Pt 3.856 2.245 4.167
Pt 7.714 6.901 2.340
Pt 3.856 4.675 0.741
La 9.833 5.724 4.060
Ge 1.915 1.115 3.297
Pt 7.892 4.594 0.703
Pt 9.810 3.299 2.340
Ni 0.000 0.000 0.000
Pt 7.892 2.182 4.103
Ge 1.915 3.480 -0.038
```



# 3
An optimized crystal structure of La2NiGe4Pt3, computed with PBE-GGA.

DOS at the Fermi energy   6.45 states/eV/cell
Uncorrected energy   -6.133 eV per atom
V   19.4 Å³/atom
Formation energy from the elements   -0.910 eV per atom

The structure in extended XYZ format:
```
10
Lattice="4.383 0.000 0.000 0.000 4.383 0.000 0.000 0.000 10.095" Properties=species:S:1:pos:R:3 pbc="T T T"
Ni 2.191 2.191 5.047
Pt 0.000 0.000 5.047
Ge 2.191 0.000 6.283
Ge 2.191 2.191 0.000
Pt 2.191 0.000 8.796
Pt 0.000 2.191 1.299
La 0.000 2.191 7.545
Ge 0.000 0.000 0.000
La 2.191 0.000 2.550
Ge 0.000 2.191 3.811
```



# 4
An optimized crystal structure of La2PuNi4Ge3, computed with PBE-GGA.

DOS at the Fermi energy   11.23 states/eV/cell
Uncorrected energy   -6.696 eV per atom
V   18.6 Å³/atom
Formation energy from the elements   -0.579 eV per atom

The structure in extended XYZ format:
```
10
Lattice="4.292 0.000 0.000 0.000 4.292 0.000 0.000 0.000 10.077" Properties=species:S:1:pos:R:3 pbc="T T T"
La 0.000 2.146 7.756
Ni 2.146 0.000 6.529
La 2.146 0.000 2.321
Ni 2.146 2.146 0.000
Ni 0.000 2.146 3.548
Ge 0.000 0.000 5.039
Ge 2.146 0.000 8.909
Pu 2.146 2.146 5.039
Ge 0.000 2.146 1.168
Ni 0.000 0.000 0.000
```



# 5
An optimized crystal structure of LaNiGe2Rh, computed with PBE-GGA.

DOS at the Fermi energy   5.71 states/eV/cell
Uncorrected energy   -6.213 eV per atom
V   18.5 Å³/atom
Formation energy from the elements   -0.754 eV per atom

The structure in extended XYZ format:
```
5
Lattice="4.228 0.000 0.000 0.000 4.228 0.000 -2.114 -2.114 5.172" Properties=species:S:1:pos:R:3 pbc="T T T"
Ni 0.000 2.114 2.586
Ge 0.000 0.000 3.828
Ge 2.114 2.114 1.344
La 0.000 0.000 0.000
Rh 2.114 0.000 2.586
```



# 6
An optimized crystal structure of La2NiGe4Rh3, computed with PBE-GGA.

DOS at the Fermi energy   8.21 states/eV/cell
Uncorrected energy   -6.432 eV per atom
V   18.8 Å³/atom
Formation energy from the elements   -0.816 eV per atom

The structure in extended XYZ format:
```
10
Lattice="4.353 0.000 0.000 0.000 4.353 0.000 0.000 0.000 9.906" Properties=species:S:1:pos:R:3 pbc="T T T"
Ge 0.000 0.000 0.000
Ge 2.177 0.000 6.155
La 0.000 2.177 7.443
La 2.177 0.000 2.463
Ge 2.177 2.177 0.000
Rh 2.177 0.000 8.642
Rh 0.000 0.000 4.953
Rh 0.000 2.177 1.264
Ge 0.000 2.177 3.751
Ni 2.177 2.177 4.953
```



# 7
An optimized crystal structure of La2Ni3Ge4Rh, computed with PBE-GGA.

DOS at the Fermi energy   7.35 states/eV/cell
Uncorrected energy   -6.051 eV per atom
V   17.7 Å³/atom
Formation energy from the elements   -0.749 eV per atom

The structure in extended XYZ format:
```
10
Lattice="4.219 0.000 0.000 0.000 4.219 0.000 0.000 0.000 9.960" Properties=species:S:1:pos:R:3 pbc="T T T"
Ge 2.109 2.109 0.000
Ni 0.000 2.109 1.225
Ni 2.109 0.000 8.735
Ge 0.000 2.109 3.657
Ni 0.000 0.000 4.980
La 2.109 0.000 2.431
La 0.000 2.109 7.530
Ge 2.109 0.000 6.303
Ge 0.000 0.000 0.000
Rh 2.109 2.109 4.980
```



# 8
An optimized crystal structure of La2Ni4Ge3Rh, computed with PBE-GGA.

DOS at the Fermi energy   9.91 states/eV/cell
Uncorrected energy   -6.028 eV per atom
V   17.3 Å³/atom
Formation energy from the elements   -0.609 eV per atom

The structure in extended XYZ format:
```
10
Lattice="-1.047 -3.610 1.738 3.669 -0.143 1.915 -3.917 4.927 7.873" Properties=species:S:1:pos:R:3 pbc="T T T"
La -1.092 3.610 6.840
Ge -1.958 2.463 3.937
Ni -3.029 1.346 5.904
Ni 0.423 1.704 3.795
Ge 1.359 0.526 1.912
Rh -0.647 0.587 5.763
Ge -3.965 2.524 7.787
Ni 0.000 0.000 0.000
Ni 1.311 -1.876 1.826
La -1.514 -0.559 2.859
```



# 9
An optimized crystal structure of La2NiGe3Rh4, computed with PBE-GGA.

DOS at the Fermi energy   8.03 states/eV/cell
Uncorrected energy   -6.682 eV per atom
V   18.6 Å³/atom
Formation energy from the elements   -0.793 eV per atom

The structure in extended XYZ format:
```
10
Lattice="-1.172 -3.518 -2.061 3.371 -2.042 1.569 -5.575 -2.927 8.166" Properties=species:S:1:pos:R:3 pbc="T T T"
Ni -1.688 -4.244 3.837
Ge 0.973 -1.395 1.828
Ge -2.787 -1.464 4.083
Ge -5.448 -4.312 6.092
Rh 1.100 -2.780 -0.246
La -2.451 -3.193 6.843
Rh 0.000 0.000 0.000
Rh -0.372 -2.101 3.798
Rh -4.104 -3.606 4.123
La -2.025 -2.514 1.077
```



# 10
An optimized crystal structure of La2Ni4Ge3Sb, computed with PBE-GGA.

DOS at the Fermi energy   7.44 states/eV/cell
Uncorrected energy   -5.770 eV per atom
V   18.2 Å³/atom
Raw formation energy   -674 meV/atom

The structure in extended XYZ format:
```
10
Lattice="4.300 0.000 0.000 0.000 4.300 0.000 0.000 0.000 9.845" Properties=species:S:1:pos:R:3 pbc="T T T"
La 2.150 0.000 2.336
Ge 0.000 2.150 1.189
Ni 2.150 2.150 0.000
Ni 2.150 0.000 6.233
Ge 0.000 0.000 4.923
Sb 2.150 2.150 4.923
La 0.000 2.150 7.509
Ni 0.000 2.150 3.612
Ni 0.000 0.000 0.000
Ge 2.150 0.000 8.657
```



# 11
An optimized crystal structure of La2Ni4GeSb3, computed with PBE-GGA.

DOS at the Fermi energy   6.66 states/eV/cell
Uncorrected energy   -5.713 eV per atom
V   19.7 Å³/atom
Raw formation energy   -716 meV/atom

The structure in extended XYZ format:
```
10
Lattice="4.427 0.000 0.000 0.000 4.427 0.000 0.000 0.000 10.052" Properties=species:S:1:pos:R:3 pbc="T T T"
La 2.213 0.000 2.503
Sb 0.000 2.213 1.305
Ni 2.213 0.000 6.201
Ni 2.213 2.213 0.000
Ni 0.000 2.213 3.851
Sb 0.000 0.000 5.026
Ni 0.000 0.000 0.000
Ge 2.213 2.213 5.026
La 0.000 2.213 7.549
Sb 2.213 0.000 8.747
```



# 12
An optimized crystal structure of LaScNi2Ge2, computed with PBE-GGA.

DOS at the Fermi energy   3.61 states/eV/cell
Uncorrected energy   -6.147 eV per atom
V   18.4 Å³/atom
Formation energy from the elements   -0.805 eV per atom

The structure in extended XYZ format:
```
6
Lattice="-3.827 -1.555 -0.925 3.302 -0.878 -2.499 1.406 -5.773 3.886" Properties=species:S:1:pos:R:3 pbc="T T T"
Ni -0.996 -3.197 -0.193
Sc 0.703 -2.887 1.943
Ge -0.456 -5.415 1.301
La 0.000 0.000 0.000
Ni 1.877 -5.009 0.654
Ge 1.336 -2.790 -0.839
```



Q: Number 2 is which compound?
A: La2NiGe3Pt12



Q: Among the records above, which one has the lowest uncorrected energy?
A: La2PuNi4Ge3



Q: Among the records above, which one has the highest DOS at the Fermi energy?
A: La2Ni3GePt12



Q: Look up the V of the eleventh one.
A: 19.7 Å³/atom